18
Lattice="3.812 -10.236 0.000 3.812 10.236 0.000 0.000 0.000 9.253" Properties=species:S:1:pos:R:3 comment="Ba2Ac3In4 GGA-PBE optimized geometry" magmom_total_mub_per_fu=0.0 delta_e_f_kcal_per_mol_atoms=-6.21 pbc="T T T"
Ba 3.812 8.286 8.433
Ba 3.812 1.950 3.806
Ba 3.812 -1.950 5.447
Ba 3.812 -8.286 0.820
Ac 0.000 0.000 4.627
Ac 1.906 4.833 6.940
Ac 1.906 -4.833 2.313
Ac 3.812 0.000 0.000
Ac 5.718 4.833 6.940
Ac 5.718 -4.833 2.313
In 3.812 6.864 4.893
In 1.906 1.447 6.940
In 1.906 -1.447 2.313
In 3.812 3.372 0.267
In 3.812 -3.372 8.986
In 5.718 1.447 6.940
In 5.718 -1.447 2.313
In 3.812 -6.864 4.360

4
Lattice="1.595 0.921 6.539 -1.595 0.921 6.539 0.000 -1.842 6.539" Properties=species:S:1:pos:R:3 comment="NaInH2 GGA-PBE optimized geometry" e_above_lowest_polymorph_ev_per_atom=0.0000 magmom_total_mub_per_fu=0.0 pbc="T T T"
Na 0.000 0.000 0.000
In 0.000 0.000 9.809
H 0.000 0.000 7.846
H 0.000 0.000 11.771

4
Lattice="4.434 0.000 0.000 0.000 4.434 0.000 0.000 0.000 3.179" Properties=species:S:1:pos:R:3 comment="TaCrAs2 GGA-PBE optimized geometry" e_above_lowest_polymorph_ev_per_atom=0.0662 magmom_total_mub_per_fu=1.9 delta_e_f_kcal_per_mol_atoms=-1.47 pbc="T T T"
Ta 0.000 0.000 0.000
Cr 2.217 2.217 0.000
As 0.000 2.217 1.589
As 2.217 0.000 1.589